Density functional theory data (GGA-PBE) for a geometry-optimized UTcNiIr structure.

Its symmetry is Pmmm, No. 47. The calculated total energy comes out at -9.467 eV/atom.

Unit cell a=3.824 b=3.963 c=4.134 alpha=90.00 beta=90.00 gamma=90.00
Element x y z (fractional)
U: 0.000 0.000 0.000
Tc: 0.500 0.500 0.000
Ni: 0.000 0.500 0.500
Ir: 0.500 0.000 0.500

---

Density functional theory data (GGA-PBE) for a geometry-optimized TcNiIrW structure.

Its symmetry is F-43m, No. 216. The calculated total energy comes out at -9.474 eV/atom.

Unit cell a=4.319 b=4.319 c=4.319 alpha=60.00 beta=60.00 gamma=60.00
Element x y z (fractional)
Tc: 0.000 0.000 0.000
Ni: 0.250 0.250 0.250
Ir: 0.500 0.500 0.500
W: 0.750 0.750 0.750

---

Density functional theory data (GGA-PBE) for a geometry-optimized NiTeIr2 structure.

Its symmetry is I-4m2, No. 119. The calculated total energy comes out at -6.256 eV/atom. The uncorrected formation energy comes out at 156 kJ/mol of formula units.

Unit cell a=4.835 b=4.835 c=4.835 alpha=131.40 beta=131.40 gamma=71.17
Element x y z (fractional)
Ni: 0.000 0.000 0.000
Te: 0.250 0.750 0.500
Ir: 0.500 0.500 0.000
Ir: 0.750 0.250 0.500

---

Density functional theory data (GGA-PBE) for a geometry-optimized NiTeIr structure.

Its symmetry is P3m1, No. 156. The calculated total energy comes out at -5.603 eV/atom. The uncorrected formation energy comes out at 94 kJ/mol of formula units.

Unit cell a=3.784 b=3.784 c=4.263 alpha=90.00 beta=90.00 gamma=120.00
Element x y z (fractional)
Ni: 0.000 0.000 0.000
Te: 0.667 0.333 0.362
Ir: 0.333 0.667 0.732

---

Density functional theory data (GGA-PBE) for a geometry-optimized Ni2Te6Ir structure.

Its symmetry is C2/c, No. 15. The calculated total energy comes out at -4.484 eV/atom. The uncorrected formation energy comes out at -105 kJ/mol of formula units.

Unit cell a=8.397 b=8.397 c=6.804 alpha=102.78 beta=102.78 gamma=98.24
Element x y z (fractional)
Ni: 0.039 0.207 0.238
Ni: 0.207 0.039 0.738
Ni: 0.793 0.961 0.262
Ni: 0.961 0.793 0.762
Te: 0.009 0.805 0.416
Te: 0.127 0.569 0.846
Te: 0.195 0.991 0.084
Te: 0.293 0.442 0.339
Te: 0.431 0.873 0.654
Te: 0.442 0.293 0.839
Te: 0.558 0.707 0.161
Te: 0.569 0.127 0.346
Te: 0.707 0.558 0.661
Te: 0.805 0.009 0.916
Te: 0.873 0.431 0.154
Te: 0.991 0.195 0.584
Ir: 0.411 0.589 0.750
Ir: 0.589 0.411 0.250

---

Density functional theory data (GGA-PBE) for a geometry-optimized NiTeIr2 structure.

Its symmetry is Cm, No. 8. The calculated total energy comes out at -6.282 eV/atom. The uncorrected formation energy comes out at 146 kJ/mol of formula units.

Unit cell a=4.567 b=4.567 c=4.918 alpha=100.93 beta=100.93 gamma=39.43
Element x y z (fractional)
Ni: 0.000 0.000 0.000
Te: 0.246 0.246 0.752
Ir: 0.494 0.494 0.451
Ir: 0.744 0.744 0.206

---

Density functional theory data (GGA-PBE) for a geometry-optimized NiTeIr2 structure.

Its symmetry is R-3m, No. 166. The calculated total energy comes out at -6.095 eV/atom. The uncorrected formation energy comes out at 219 kJ/mol of formula units.

Unit cell a=8.442 b=8.442 c=8.442 alpha=20.46 beta=20.46 gamma=20.46
Element x y z (fractional)
Ni: 0.000 0.000 0.000
Te: 0.500 0.500 0.500
Ir: 0.256 0.256 0.256
Ir: 0.744 0.744 0.744

---

Density functional theory data (GGA-PBE) for a geometry-optimized Ni2Te6Ir structure.

Its symmetry is C2/m, No. 12. The calculated total energy comes out at -4.602 eV/atom. The uncorrected formation energy comes out at -207 kJ/mol of formula units.

Unit cell a=10.406 b=10.406 c=5.356 alpha=90.02 beta=90.02 gamma=21.87
Element x y z (fractional)
Ni: 0.168 0.168 0.495
Ni: 0.832 0.832 0.505
Te: 0.056 0.056 0.242
Te: 0.278 0.278 0.739
Te: 0.386 0.386 0.262
Te: 0.614 0.614 0.738
Te: 0.722 0.722 0.261
Te: 0.944 0.944 0.758
Ir: 0.500 0.500 0.500

---

For each record above, in turn, the calculated Fermi-level density of states values are 3.83, 4.31, 5.47, 1.53, 5.72, 4.29, 5.88, 3.79 states/eV/f.u..
For each record above, in turn, the calculated theoretical density values are 15.56, 15.53, 15.22, 11.89, 7.99, 14.85, 14.72, 8.27 g/cm3.